Record 1
Density functional theory data (PBE) for an optimized crystal structure of PmPaIr4.

## Properties
**ρ**: 17.18 g/cm3
**Formation energy**: -70 kJ per mole of atoms
**Space group**: F-43m, No. 216

Cell and atoms, written as POSCAR:
```
PmPaIr4
1.0
0.000 3.810 3.810
3.810 0.000 3.810
3.810 3.810 0.000
Pm Pa Ir
1 1 4
Cartesian
0.000 0.000 0.000
1.905 1.905 1.905
4.764 2.857 2.857
2.857 4.764 2.857
2.857 2.857 4.764
4.764 4.764 4.764
```



Record 2
Density functional theory data (PBE) for an optimized crystal structure of PmPaIr.

## Properties
**ρ**: 11.58 g/cm3
**Formation energy**: -20 kJ per mole of atoms
**Space group**: P3m1, No. 156
**Energy above the lowest structure with this stoichiometry**: 1.001 eV per formula unit

Cell and atoms, written as POSCAR:
```
PmPaIr
1.0
4.545 0.000 0.000
-2.272 3.936 0.000
0.000 0.000 4.554
Pm Pa Ir
1 1 1
Cartesian
0.000 0.000 0.000
2.272 1.312 2.279
0.000 2.624 2.273
```



Record 3
Density functional theory data (PBE) for an optimized crystal structure of Pm2PaIr3.

## Properties
**ρ**: 12.77 g/cm3
**Formation energy**: -62 kJ per mole of atoms
**Space group**: C2/c, No. 15

Cell and atoms, written as POSCAR:
```
Pm2PaIr3
1.0
6.548 -2.899 0.000
6.548 2.899 0.000
-2.341 0.000 7.516
Pm Pa Ir
4 2 6
Cartesian
1.995 0.185 0.628
0.825 -0.185 4.386
9.930 0.185 3.130
8.760 -0.185 6.888
4.792 0.069 5.637
5.963 -0.069 1.879
5.963 2.839 1.879
3.579 0.175 3.192
2.409 -0.175 6.950
8.346 0.175 0.566
7.176 -0.175 4.324
4.792 -2.839 5.637
```



Record 4
Density functional theory data (PBE) for an optimized crystal structure of Pm5PaIr4.

## Properties
**ρ**: 10.93 g/cm3
**Formation energy**: -63 kJ per mole of atoms
**Space group**: C2/m, No. 12
**Energy above the lowest structure with this stoichiometry**: 0.000 eV per formula unit

Cell and atoms, written as POSCAR:
```
Pm5PaIr4
1.0
8.207 -2.277 0.000
8.207 2.277 0.000
-1.847 0.000 7.012
Pm Pa Ir
5 1 4
Cartesian
0.000 0.000 0.000
3.678 0.000 6.615
4.620 0.000 3.085
9.947 0.000 3.926
10.889 0.000 0.396
-0.923 0.000 3.506
0.923 0.000 5.530
7.688 0.000 1.980
6.878 0.000 5.032
13.644 0.000 1.482
```



Record 5
Density functional theory data (PBE) for an optimized crystal structure of Pm2PaIr2.

## Properties
**ρ**: 11.92 g/cm3
**Formation energy**: -70 kJ per mole of atoms
**Space group**: C2/c, No. 15
**Energy above the lowest structure with this stoichiometry**: 0.000 eV per formula unit

Cell and atoms, written as POSCAR:
```
Pm2PaIr2
1.0
5.606 -3.123 0.000
5.606 3.123 0.000
-1.422 0.000 7.205
Pm Pa Ir
4 2 4
Cartesian
1.477 0.728 1.048
0.766 -0.728 4.650
9.023 0.728 2.554
8.311 -0.728 6.157
5.250 0.541 1.801
4.539 -0.541 5.404
3.280 0.927 3.522
7.220 0.927 0.081
2.568 -0.927 7.124
6.509 -0.927 3.683
```



Record 6
Density functional theory data (PBE) for an optimized crystal structure of Pm5PaIr6.

## Properties
**ρ**: 13.33 g/cm3
**Formation energy**: -64 kJ per mole of atoms
**Space group**: Cmmm, No. 65

Cell and atoms, written as POSCAR:
```
Pm5PaIr6
1.0
2.448 -7.537 0.000
2.448 7.537 0.000
0.000 0.000 7.122
Pm Pa Ir
5 1 6
Cartesian
0.000 0.000 0.000
2.448 2.592 3.561
2.448 2.517 0.000
2.448 -2.517 0.000
2.448 -2.592 3.561
0.000 0.000 3.561
2.448 5.284 1.862
2.448 5.284 5.260
2.448 0.000 1.965
2.448 0.000 5.157
2.448 -5.284 1.862
2.448 -5.284 5.260
```



Record 7
Density functional theory data (PBE) for an optimized crystal structure of PmPaIrRh.

## Properties
**ρ**: 12.50 g/cm3
**Formation energy**: -77 kJ per mole of atoms
**Space group**: Amm2, No. 38
**Energy above the lowest structure with this stoichiometry**: 0.000 eV per formula unit

Cell and atoms, written as POSCAR:
```
PmPaIrRh
1.0
4.118 0.000 0.000
0.000 1.889 5.730
0.000 -1.889 5.730
Pm Pa Ir Rh
1 1 1 1
Cartesian
0.000 0.000 0.000
2.059 0.000 3.080
0.000 0.000 8.499
2.059 0.000 6.448
```



Record 8
Density functional theory data (PBE) for an optimized crystal structure of PmPaIrRh.

## Properties
**ρ**: 13.19 g/cm3
**Formation energy**: -58 kJ per mole of atoms
**Space group**: F-43m, No. 216
**Energy above the lowest structure with this stoichiometry**: 0.802 eV per formula unit

Cell and atoms, written as POSCAR:
```
PmPaIrRh
1.0
0.000 3.483 3.483
3.483 0.000 3.483
3.483 3.483 0.000
Pm Pa Ir Rh
1 1 1 1
Cartesian
0.000 0.000 0.000
3.483 3.483 3.483
1.741 1.741 1.741
5.224 5.224 5.224
```



Record 9
Density functional theory data (PBE) for an optimized crystal structure of PmPaIrRu.

## Properties
**ρ**: 13.29 g/cm3
**Formation energy**: -41 kJ per mole of atoms
**Space group**: F-43m, No. 216
**Energy above the lowest structure with this stoichiometry**: 0.596 eV per formula unit

Cell and atoms, written as POSCAR:
```
PmPaIrRu
1.0
0.000 3.471 3.471
3.471 0.000 3.471
3.471 3.471 0.000
Pm Pa Ir Ru
1 1 1 1
Cartesian
0.000 0.000 0.000
3.471 3.471 3.471
1.736 1.736 1.736
5.207 5.207 5.207
```



Record 10
Density functional theory data (PBE) for an optimized crystal structure of PmPaIrRu.

## Properties
**ρ**: 12.78 g/cm3
**Formation energy**: -56 kJ per mole of atoms
**Space group**: Amm2, No. 38
**Energy above the lowest structure with this stoichiometry**: 0.000 eV per formula unit

Cell and atoms, written as POSCAR:
```
PmPaIrRu
1.0
4.090 0.000 0.000
0.000 1.893 5.615
0.000 -1.893 5.615
Pm Pa Ir Ru
1 1 1 1
Cartesian
0.000 0.000 0.000
2.045 0.000 8.161
2.045 0.000 4.947
0.000 0.000 2.913
```



Record 11
Density functional theory data (PBE) for an optimized crystal structure of Pm2PaSb3Ir4.

## Properties
**ρ**: 12.22 g/cm3
**Space group**: P-4m2, No. 115
**Raw formation energy**: -0.6477 eV per atom

Cell and atoms, written as POSCAR:
```
Pm2PaSb3Ir4
1.0
4.428 0.000 0.000
0.000 4.428 0.000
0.000 0.000 11.469
Pm Pa Sb Ir
2 1 3 4
Cartesian
0.000 2.214 2.497
2.214 0.000 8.972
0.000 0.000 5.734
0.000 2.214 9.934
2.214 0.000 1.534
2.214 2.214 5.734
0.000 0.000 0.000
0.000 2.214 7.337
2.214 0.000 4.131
2.214 2.214 0.000
```



Record 12
Density functional theory data (PBE) for an optimized crystal structure of PmPaIrSe.

## Properties
**ρ**: 10.50 g/cm3
**Space group**: R3m, No. 160
**Raw formation energy**: -1.1073 eV per atom

Cell and atoms, written as POSCAR:
```
PmPaIrSe
1.0
2.000 1.154 7.388
-2.000 1.154 7.388
0.000 -2.309 7.388
Pm Pa Ir Se
1 1 1 1
Cartesian
0.000 0.000 0.000
0.000 0.000 18.060
0.000 0.000 9.236
0.000 0.000 5.288
```